# TlFeNO2 | the Alexandria database | PBE with a Hubbard U | optimized geometry
data_TlFeNO2
_chemical_formula_sum 'Tl1 Fe1 N1 O2'
_cell_length_a 4.2845
_cell_length_b 4.2845
_cell_length_c 4.1974
_cell_angle_alpha 90.00
_cell_angle_beta 90.00
_cell_angle_gamma 90.00
_space_group_name_H-M_alt 'P 4/m m m'
_space_group_IT_number 123
_space_group_name_Hall '-P 4 2'
loop_
_atom_site_label
_atom_site_type_symbol
_atom_site_fract_x
_atom_site_fract_y
_atom_site_fract_z
Tl1 Tl 0.0000 0.0000 0.0000
Fe1 Fe 0.5000 0.5000 0.5000
N1 N 0.0000 0.0000 0.5000
O1 O 0.0000 0.5000 0.0000
# Crystal system: tetragonal
# VASP energy: -4.31 eV/atom